Entry from the Alexandria database: AcSiP after structural relaxation (PBE-GGA).

```
3
Lattice="4.2871 0.0000 0.0000 -2.1436 3.7128 0.0000 0.0000 0.0000 4.3958" Properties=species:S:1:pos:R:3 pbc="T T T"
Ac 0.0000 0.0000 0.0000
Si 2.1436 1.2376 2.1979
P 0.0000 2.4752 2.1979
```

energy relative to the lowest polymorph listed for this composition: 0.0392 eV/atom
E_form (uncorrected): -683.2 meV per atom
symmetry: P-6m2, No. 187